The following is a DFT calculation (PBE-GGA) of an optimized crystal structure of Er2LuSi.

Unit cell a=3.5700 b=3.5700 c=29.5825 alpha=90.00 beta=90.00 gamma=120.00
Space group R-3m (No. 166, hexagonal axes)
Symmetry-distinct sites (fractional):
Er (0.0000, 0.0000, 0.2337) [6 per cell]
Lu (0.0000, 0.0000, 0.0000) [3 per cell]
Si (0.0000, 0.0000, 0.5000) [3 per cell]

Crystal system: trigonal
E_form (uncorrected): -135 meV/atom
Total energy: -4.902 eV per atom
N(E_F): 15.88 states/eV per cell
Total magnetization: 2.1 μB per cell
Theoretical density: 8.202 g cm⁻³

***

The following is a DFT calculation (PBE-GGA) of an optimized crystal structure of Sm3Se5.

Unit cell a=8.8890 b=8.8890 c=5.8960 alpha=90.00 beta=90.00 gamma=120.00
Space group P6_3/mcm (No. 193)
Symmetry-distinct sites (fractional):
Sm (0.0000, 0.3668, 0.2500) [6 per cell]
Se (0.0000, 0.2793, 0.7500) [6 per cell]
Se (0.3333, 0.6667, 0.0000) [4 per cell]

Crystal system: hexagonal
E_form (uncorrected): -1728 meV/atom
Total energy: -5.676 eV per atom
N(E_F): 2.48 states/eV per cell
Total magnetization: 0.0 μB per cell
Theoretical density: 6.963 g cm⁻³